1.
The following is a DFT calculation (GGA-PBE) of an optimized crystal structure of Pm6Ir2Se3Br.

abc: 9.5150 9.5150 8.7170
angles: 104.56 104.56 24.95
Last column: nearest neighbours and their distance in Å.
Element x y z (fractional)
Pm (0.0129, 0.0129, 0.2759)  1 Ir 2.81, 3 Se 2.89-3.05, 2 Br 3.13
Pm (0.3225, 0.3225, 0.8793)  2 Ir 2.84, 3 Se 3.02-3.11
Pm (0.3288, 0.3288, 0.4239)  3 Ir 2.87-2.90, 3 Se 3.08-3.18
Pm (0.6712, 0.6712, 0.5761)  3 Ir 2.87-2.90, 3 Se 3.08-3.18
Pm (0.6775, 0.6775, 0.1207)  2 Ir 2.84, 3 Se 3.02-3.11
Pm (0.9871, 0.9871, 0.7241)  1 Ir 2.81, 3 Se 2.89-3.05, 2 Br 3.13
Ir (0.1690, 0.1690, 0.3398)  6 Pm 2.81-2.90
Ir (0.8310, 0.8310, 0.6602)  6 Pm 2.81-2.90
Se (0.1565, 0.1565, 0.8442)  6 Pm 3.02-3.18
Se (0.5000, 0.5000, 0.5000)  6 Pm 2.89-3.08
Se (0.8435, 0.8435, 0.1558)  6 Pm 3.02-3.18
Br (0.5000, 0.5000, 0.0000)  6 Pm 3.13-3.19

Properties
The value obtained for the calculated density is 8.11 Mg/m³. The symmetry is C2/m (12). Its uncorrected energy is -0.45678 Ry per atom. The uncorrected formation energy comes out at -1.35 eV/atom.



2.
The following is a DFT calculation (GGA-PBE) of an optimized crystal structure of KGa3Ag2.

abc: 7.0112 7.0112 5.6395
angles: 90.00 90.00 77.47
Last column: nearest neighbours and their distance in Å.
Element x y z (fractional)
K (0.1602, 0.8398, 0.7500)  9 Ga 3.52-3.72, 4 Ag 3.71
K (0.8398, 0.1602, 0.2500)  9 Ga 3.52-3.72, 4 Ag 3.71
Ga (0.0413, 0.5878, 0.2500)  1 Ga 2.62, 4 Ag 2.68-2.80
Ga (0.4122, 0.9587, 0.2500)  1 Ga 2.62, 4 Ag 2.68-2.80
Ga (0.4162, 0.5838, 0.2500)  2 Ga 2.62, 4 Ag 2.82
Ga (0.5838, 0.4162, 0.7500)  2 Ga 2.62, 4 Ag 2.82
Ga (0.5878, 0.0413, 0.7500)  1 Ga 2.62, 4 Ag 2.68-2.80
Ga (0.9587, 0.4122, 0.7500)  1 Ga 2.62, 4 Ag 2.68-2.80
Ag (0.2867, 0.2867, 0.0000)  6 Ga 2.68-2.82, 2 Ag 2.82
Ag (0.2867, 0.2867, 0.5000)  6 Ga 2.68-2.82, 2 Ag 2.82
Ag (0.7133, 0.7133, 0.0000)  6 Ga 2.68-2.82, 2 Ag 2.82
Ag (0.7133, 0.7133, 0.5000)  6 Ga 2.68-2.82, 2 Ag 2.82

Properties
The value obtained for the calculated density is 5.69 Mg/m³. The symmetry is Cmcm (63). Its calculated formation energy is -1.57 kcal/mol of atoms. Its uncorrected energy is -0.19955 Ry per atom.